A relaxed NiPPdO2 crystal. Source: Alexandria, functional PBE+U.

```
NiPPdO2
1.0
3.604 0.000 0.000
0.000 3.604 0.000
0.000 0.000 4.867
Ni P Pd O
1 1 1 2
Direct
0.000 0.000 0.000 Ni
0.000 0.000 0.500 P
0.500 0.500 0.500 Pd
0.000 0.500 0.000 O
0.500 0.000 0.000 O
```

## Properties
The value obtained for the electronic total energy is -4.353 eV per atom. As for the space-group type: P4/mmm. The energy above the most stable polymorph in this dataset comes out at 0 meV per atom. The density of states at the Fermi level is 0.85 states/eV per atom.